DFT (PBE) results for a relaxed structure of Sr2TmUSe6.

Unit cell a=7.182 b=7.753 c=12.722 alpha=90.00 beta=124.12 gamma=90.00
Fractional coordinates of all 20 atoms:
Sr 0.217 0.089 0.248
Sr 0.217 0.411 0.748
Sr 0.783 0.589 0.252
Sr 0.783 0.911 0.752
Tm 0.000 0.000 0.500
Tm 0.000 0.500 0.000
U 0.500 0.000 0.000
U 0.500 0.500 0.500
Se 0.131 0.190 0.942
Se 0.131 0.310 0.442
Se 0.258 0.696 0.940
Se 0.258 0.804 0.440
Se 0.368 0.031 0.752
Se 0.368 0.469 0.252
Se 0.632 0.531 0.748
Se 0.632 0.969 0.248
Se 0.742 0.196 0.560
Se 0.742 0.304 0.060
Se 0.869 0.690 0.558
Se 0.869 0.810 0.058

Properties
SG: P2_1/c, No. 14
raw formation energy: -1666 meV/atom



DFT (PBE) results for a relaxed structure of Pr8NiP3I4.

Unit cell a=9.188 b=9.188 c=9.188 alpha=55.20 beta=55.20 gamma=55.20
Fractional coordinates of all 16 atoms:
Pr 0.231 0.231 0.231
Pr 0.239 0.726 0.726
Pr 0.274 0.274 0.761
Pr 0.274 0.761 0.274
Pr 0.726 0.239 0.726
Pr 0.726 0.726 0.239
Pr 0.761 0.274 0.274
Pr 0.769 0.769 0.769
Ni 0.500 0.500 0.500
P 0.000 0.000 0.500
P 0.000 0.500 0.000
P 0.500 0.000 0.000
I 0.000 0.000 0.000
I 0.000 0.500 0.500
I 0.500 0.000 0.500
I 0.500 0.500 0.000

Properties
SG: R-3m, No. 166
raw formation energy: -1166 meV/atom



DFT (PBE) results for a relaxed structure of Sm4Y2Er2Tm.

Unit cell a=9.456 b=9.456 c=8.764 alpha=90.06 beta=90.06 gamma=21.76
Fractional coordinates of all 9 atoms:
Sm 0.055 0.055 0.171
Sm 0.278 0.278 0.830
Sm 0.722 0.722 0.170
Sm 0.945 0.945 0.829
Y 0.389 0.389 0.170
Y 0.611 0.611 0.830
Er 0.167 0.167 0.499
Er 0.833 0.833 0.501
Tm 0.500 0.500 0.500

Properties
energy relative to the elements: 0.18 eV/f.u.
SG: C2/m, No. 12



DFT (PBE) results for a relaxed structure of Ac6Nd2Dy3.

Unit cell a=6.617 b=6.617 c=12.112 alpha=95.04 beta=95.04 gamma=119.86
Fractional coordinates of all 11 atoms:
Ac 0.086 0.418 0.751
Ac 0.246 0.246 0.252
Ac 0.418 0.086 0.751
Ac 0.582 0.914 0.249
Ac 0.754 0.754 0.748
Ac 0.914 0.582 0.249
Nd 0.331 0.669 0.500
Nd 0.669 0.331 0.500
Dy 0.166 0.834 0.000
Dy 0.500 0.500 0.000
Dy 0.834 0.166 0.000

Properties
energy relative to the elements: 2.04 eV/f.u.
SG: C2/m, No. 12



DFT (PBE) results for a relaxed structure of LiCuNi.

Unit cell a=4.056 b=4.056 c=2.419 alpha=90.00 beta=90.00 gamma=120.00
Fractional coordinates of all 3 atoms:
Li 0.000 0.000 0.000
Cu 0.333 0.667 0.279
Ni 0.667 0.333 0.699

Properties
energy relative to the elements: 0.00 eV/f.u.
energy above the lowest structure with this stoichiometry: 48 meV per atom
SG: P3m1, No. 156



DFT (PBE) results for a relaxed structure of NaGeI3.

Unit cell a=8.695 b=6.096 c=10.159 alpha=90.00 beta=114.46 gamma=90.00
Fractional coordinates of all 10 atoms:
Na 0.065 0.250 0.396
Na 0.935 0.750 0.604
Ge 0.321 0.250 0.850
Ge 0.679 0.750 0.150
I 0.042 0.750 0.338
I 0.304 0.750 0.892
I 0.435 0.250 0.641
I 0.565 0.750 0.359
I 0.696 0.250 0.108
I 0.958 0.250 0.662

Properties
energy above the lowest structure with this stoichiometry: 29 meV per atom
SG: P2_1/m, No. 11
raw formation energy: -638 meV/atom



DFT (PBE) results for a relaxed structure of PrY2ErS6.

Unit cell a=7.396 b=7.396 c=7.396 alpha=56.39 beta=56.39 gamma=56.39
Fractional coordinates of all 10 atoms:
Pr 0.000 0.000 0.000
Y 0.291 0.291 0.291
Y 0.795 0.795 0.795
Er 0.493 0.493 0.493
S 0.091 0.675 0.413
S 0.198 0.586 0.891
S 0.413 0.091 0.675
S 0.586 0.891 0.198
S 0.675 0.413 0.091
S 0.891 0.198 0.586

Properties
SG: R3, No. 146
raw formation energy: -2045 meV/atom



DFT (PBE) results for a relaxed structure of LaSiAg2.

Unit cell a=3.440 b=4.367 c=6.166 alpha=90.00 beta=106.09 gamma=90.00
Fractional coordinates of all 4 atoms:
La 0.000 0.000 0.000
Si 0.614 0.500 0.230
Ag 0.304 0.500 0.611
Ag 0.733 0.000 0.469

Properties
SG: Pm, No. 6
raw formation energy: -179 meV/atom



DFT (PBE) results for a relaxed structure of Er4HgPd.

Unit cell a=9.558 b=9.558 c=9.558 alpha=60.00 beta=60.00 gamma=60.00
Fractional coordinates of all 24 atoms:
Er 0.185 0.185 0.815
Er 0.185 0.815 0.185
Er 0.185 0.815 0.815
Er 0.392 0.392 0.392
Er 0.392 0.392 0.824
Er 0.392 0.824 0.392
Er 0.562 0.562 0.938
Er 0.562 0.938 0.562
Er 0.562 0.938 0.938
Er 0.815 0.185 0.185
Er 0.815 0.185 0.815
Er 0.815 0.815 0.185
Er 0.824 0.392 0.392
Er 0.938 0.562 0.562
Er 0.938 0.562 0.938
Er 0.938 0.938 0.562
Hg 0.163 0.163 0.163
Hg 0.163 0.163 0.512
Hg 0.163 0.512 0.163
Hg 0.512 0.163 0.163
Pd 0.189 0.604 0.604
Pd 0.604 0.189 0.604
Pd 0.604 0.604 0.189
Pd 0.604 0.604 0.604

Properties
energy relative to the elements: -3.10 eV/f.u.
energy above the lowest structure with this stoichiometry: 0 meV per atom
SG: F-43m, No. 216



DFT (PBE) results for a relaxed structure of Hf3V2Ga4.

Unit cell a=5.997 b=5.997 c=8.078 alpha=112.53 beta=112.53 gamma=36.96
Fractional coordinates of all 9 atoms:
Hf 0.000 0.000 0.000
Hf 0.368 0.368 0.312
Hf 0.632 0.632 0.688
V 0.305 0.305 0.624
V 0.695 0.695 0.376
Ga 0.060 0.060 0.390
Ga 0.297 0.297 0.935
Ga 0.703 0.703 0.065
Ga 0.940 0.940 0.610

Properties
energy relative to the elements: -2.48 eV/f.u.
SG: C2/m, No. 12



DFT (PBE) results for a relaxed structure of Sb2MoPb.

Unit cell a=4.628 b=4.628 c=7.222 alpha=99.81 beta=99.81 gamma=43.67
Fractional coordinates of all 4 atoms:
Sb 0.232 0.232 0.184
Sb 0.768 0.768 0.816
Mo 0.500 0.500 0.000
Pb 0.000 0.000 0.500

Properties
SG: C2/m, No. 12
raw formation energy: 359 meV/atom



DFT (PBE) results for a relaxed structure of La2Zn3GaPt4.

Unit cell a=4.281 b=4.281 c=10.734 alpha=90.00 beta=90.00 gamma=90.00
Fractional coordinates of all 10 atoms:
La 0.000 0.500 0.244
La 0.500 0.000 0.756
Zn 0.000 0.500 0.869
Zn 0.500 0.000 0.131
Zn 0.500 0.500 0.500
Ga 0.000 0.000 0.500
Pt 0.000 0.000 0.000
Pt 0.000 0.500 0.634
Pt 0.500 0.000 0.366
Pt 0.500 0.500 0.000

Properties
energy relative to the elements: -8.43 eV/f.u.
SG: P-4m2, No. 115



no.,calculated total energy (eV/atom)
1,-5.669
2,-5.319
3,-5.025
4,-4.178
5,-3.930
6,-2.756
7,-6.748
8,-4.192
9,-4.475
10,-6.965
11,-5.337
12,-4.929